# Li2BTeOs

A relaxed structure of Li2BTeOs (PBE, Alexandria via LeMat-Bulk).

abc: 5.068 5.068 3.908
angles: 90.00 90.00 90.00
Space group P4/mmm (No. 123)
Symmetry-distinct sites (fractional):
Li 0.000 0.500 0.000 (multiplicity 2)
B 0.000 0.000 0.500 (multiplicity 1)
Te 0.500 0.500 0.500 (multiplicity 1)
Os 0.000 0.000 0.000 (multiplicity 1)

Properties
ΔE_f (raw) = 0.75 eV/atom